! HfOsPb2Cl | the Alexandria database | GGA-PBEsol | optimized geometry; values from VASP
! Symmetry: P4/mmm, No. 123
! Formation energy from raw total energies, kJ per mole of atoms: 100.0
! Magnetization, μB per cell: 0.000
! V, Å³/cell: 126.49
&SYSTEM
  ibrav = 0, nat = 5, ntyp = 4
/
ATOMIC_SPECIES
Hf 178.49 Hf.upf
Os 190.23 Os.upf
Pb 207.20 Pb.upf
Cl 35.45 Cl.upf
CELL_PARAMETERS angstrom
5.4240 0.0000 0.0000
0.0000 5.4240 0.0000
0.0000 0.0000 4.2996
ATOMIC_POSITIONS angstrom
Hf 0.0000 0.0000 0.0000
Os 2.7120 2.7120 2.1498
Pb 0.0000 2.7120 2.1498
Pb 2.7120 0.0000 2.1498
Cl 2.7120 2.7120 0.0000



! Eu2I2O | the Alexandria database | GGA-PBEsol | optimized geometry; values from VASP
! Symmetry: Ibam, No. 72
! Formation energy from raw total energies, kJ per mole of atoms: -205.7
! Magnetization, μB per cell: 27.999
! V, Å³/cell: 286.01
&SYSTEM
  ibrav = 0, nat = 10, ntyp = 3
/
ATOMIC_SPECIES
Eu 151.96 Eu.upf
I 126.90 I.upf
O 16.00 O.upf
CELL_PARAMETERS angstrom
-3.6433 6.2744 3.1279
3.6433 -6.2744 3.1279
3.6433 6.2744 -3.1279
ATOMIC_POSITIONS angstrom
Eu 1.2933 1.1383 0.0000
Eu 1.2933 -1.1383 3.1279
Eu 2.3499 7.4127 0.0000
Eu 2.3499 5.1361 3.1279
I 4.7173 1.8695 0.0000
I 1.0740 4.4048 0.0000
I 2.5692 1.8695 3.1279
I -1.0740 4.4048 3.1279
O 0.0000 0.0000 1.5640
O 0.0000 0.0000 4.6919



! CrFe2Ag | the Alexandria database | GGA-PBEsol | optimized geometry; values from VASP
! Symmetry: C2/m, No. 12
! Energy above the lowest structure with this stoichiometry, eV per formula unit: 0.57
! Energy relative to the elements, meV/atom: 478
! Magnetization, μB per cell: 6.179
! V, Å³/cell: 99.71
&SYSTEM
  ibrav = 0, nat = 8, ntyp = 3
/
ATOMIC_SPECIES
Cr 52.00 Cr.upf
Fe 55.84 Fe.upf
Ag 107.87 Ag.upf
CELL_PARAMETERS angstrom
8.4900 0.0000 0.0000
0.0000 2.5755 0.0000
-0.8090 0.0000 4.5600
ATOMIC_POSITIONS angstrom
Cr 0.0000 0.0000 0.0000
Cr 4.2450 1.2877 0.0000
Fe 1.8845 1.2877 1.0402
Fe 1.5515 0.0000 3.5198
Fe 6.1295 0.0000 1.0402
Fe 5.7965 1.2877 3.5198
Ag -0.4045 1.2877 2.2800
Ag 3.8405 0.0000 2.2800